No. 1
A plane-wave DFT calculation with PBE-GGA was carried out for LiMgH4 after structural relaxation.

```
data_LiMgH4
_chemical_formula_sum 'Li1 Mg1 H4'
_space_group_name_H-M_alt 'P 4/m m m'
_space_group_IT_number 123
_space_group_name_Hall '-P 4 2'
_cell_length_a 3.234
_cell_length_b 3.234
_cell_length_c 4.537
_cell_angle_alpha 90.00
_cell_angle_beta 90.00
_cell_angle_gamma 90.00
loop_
_atom_site_label
_atom_site_fract_x
_atom_site_fract_y
_atom_site_fract_z
Li1 0.000 0.000 0.000
Mg1 0.500 0.500 0.500
H1 0.000 0.500 0.243
```

## Properties
Density, kg/m3: 1234
DOS(E_F), states/eV/atom: 0.0222
V, Å³/cell: 47.5
Energy, eV/cell: -16.82

***

No. 2
A plane-wave DFT calculation with PBE-GGA was carried out for LiMgH2 after structural relaxation.

```
data_LiMgH2
_chemical_formula_sum 'Li3 Mg3 H6'
_space_group_name_H-M_alt 'R 3 m'
_space_group_IT_number 160
_space_group_name_Hall 'R 3 -2"'
_cell_length_a 3.1270
_cell_length_b 3.1270
_cell_length_c 15.0499
_cell_angle_alpha 90.00
_cell_angle_beta 90.00
_cell_angle_gamma 120.00
loop_
_atom_site_label
_atom_site_fract_x
_atom_site_fract_y
_atom_site_fract_z
Li1 0.0000 0.0000 0.0000
Mg1 0.0000 0.0000 0.1781
H1 0.0000 0.0000 0.5806
H2 0.0000 0.0000 0.7670
```

## Properties
Offset from the most stable computed form, meV/atom: 175
Density, kg/m3: 1300
DOS(E_F), states/eV/atom: 0.1449
V, Å³/cell: 127.4
Energy, eV/cell: -30.16

***

No. 3
A plane-wave DFT calculation with PBE-GGA was carried out for LiMgH2 after structural relaxation.

```
data_LiMgH2
_chemical_formula_sum 'Li4 Mg4 H8'
_space_group_name_H-M_alt 'I -4 2 d'
_space_group_IT_number 122
_space_group_name_Hall 'I -4 2bw'
_cell_length_a 4.493
_cell_length_b 4.493
_cell_length_c 9.120
_cell_angle_alpha 90.00
_cell_angle_beta 90.00
_cell_angle_gamma 90.00
loop_
_atom_site_label
_atom_site_fract_x
_atom_site_fract_y
_atom_site_fract_z
Li1 0.000 0.000 0.000
Mg1 0.000 0.000 0.500
H1 0.241 0.250 0.125
```

## Properties
Offset from the most stable computed form, meV/atom: 104
Density, kg/m3: 1200
DOS(E_F), states/eV/atom: 0.3662
V, Å³/cell: 184.1
Energy, eV/cell: -41.34

***

No. 4
A plane-wave DFT calculation with PBE-GGA was carried out for Li2MgH2 after structural relaxation.

```
data_Li2MgH2
_chemical_formula_sum 'Li4 Mg2 H4'
_space_group_name_H-M_alt 'P 4/m b m'
_space_group_IT_number 127
_space_group_name_Hall '-P 4 2ab'
_cell_length_a 6.343
_cell_length_b 6.343
_cell_length_c 3.320
_cell_angle_alpha 90.00
_cell_angle_beta 90.00
_cell_angle_gamma 90.00
loop_
_atom_site_label
_atom_site_fract_x
_atom_site_fract_y
_atom_site_fract_z
Li1 0.200 0.300 0.000
Mg1 0.000 0.000 0.500
H1 0.202 0.702 0.500
```

## Properties
Density, kg/m3: 1000
DOS(E_F), states/eV/atom: 0.0035
V, Å³/cell: 133.5
Energy, eV/cell: -24.51

***

No. 5
A plane-wave DFT calculation with PBE-GGA was carried out for LiMg2H6 after structural relaxation.

```
data_LiMg2H6
_chemical_formula_sum 'Li4 Mg8 H24'
_space_group_name_H-M_alt 'F m -3 m'
_space_group_IT_number 225
_space_group_name_Hall '-F 4 2 3'
_cell_length_a 6.365
_cell_length_b 6.365
_cell_length_c 6.365
_cell_angle_alpha 90.00
_cell_angle_beta 90.00
_cell_angle_gamma 90.00
loop_
_atom_site_label
_atom_site_fract_x
_atom_site_fract_y
_atom_site_fract_z
Li1 0.000 0.000 0.000
Mg1 0.250 0.250 0.250
H1 0.000 0.000 0.267
```

## Properties
Offset from the most stable computed form, meV/atom: 189
Density, kg/m3: 1587
DOS(E_F), states/eV/atom: 0.1331
V, Å³/cell: 257.9
Energy, eV/cell: -95.12

***

No. 6
A plane-wave DFT calculation with PBE-GGA was carried out for LiMgH after structural relaxation.

```
data_LiMgH
_chemical_formula_sum 'Li4 Mg4 H4'
_space_group_name_H-M_alt 'C 1 m 1'
_space_group_IT_number 8
_cell_length_a 5.428
_cell_length_b 3.144
_cell_length_c 10.061
_cell_angle_alpha 90.00
_cell_angle_beta 90.04
_cell_angle_gamma 90.00
loop_
_space_group_symop_operation_xyz
'x,y,z'
'x,-y,z'
'x+1/2,y+1/2,z'
'x+1/2,-y+1/2,z'
loop_
_atom_site_label
_atom_site_fract_x
_atom_site_fract_y
_atom_site_fract_z
Li1 0.000 0.000 0.000
Li2 0.166 0.500 0.233
Mg1 0.166 0.500 0.751
Mg2 0.498 0.500 0.496
H1 0.000 0.000 0.187
H2 0.167 0.500 0.956
```

## Properties
Offset from the most stable computed form, meV/atom: 0
Density, kg/m3: 1248
DOS(E_F), states/eV/atom: 0.1421
V, Å³/cell: 171.7
Energy, eV/cell: -29.74

***

No. 7
A plane-wave DFT calculation with PBE-GGA was carried out for LiMgH2 after structural relaxation.

```
data_LiMgH2
_chemical_formula_sum 'Li3 Mg3 H6'
_space_group_name_H-M_alt 'R -3 m'
_space_group_IT_number 166
_space_group_name_Hall '-R 3 2"'
_cell_length_a 3.1734
_cell_length_b 3.1734
_cell_length_c 14.1552
_cell_angle_alpha 90.00
_cell_angle_beta 90.00
_cell_angle_gamma 120.00
loop_
_atom_site_label
_atom_site_fract_x
_atom_site_fract_y
_atom_site_fract_z
Li1 0.0000 0.0000 0.0000
Mg1 0.0000 0.0000 0.5000
H1 0.0000 0.0000 0.2475
```

## Properties
Offset from the most stable computed form, meV/atom: 151
Density, kg/m3: 1342
DOS(E_F), states/eV/atom: 0.3177
V, Å³/cell: 123.4
Energy, eV/cell: -30.45

***

No. 8
A plane-wave DFT calculation with PBE-GGA was carried out for LiMgH2 after structural relaxation.

```
data_LiMgH2
_chemical_formula_sum 'Li4 Mg4 H8'
_space_group_name_H-M_alt 'F m -3 m'
_space_group_IT_number 225
_space_group_name_Hall '-F 4 2 3'
_cell_length_a 5.475
_cell_length_b 5.475
_cell_length_c 5.475
_cell_angle_alpha 90.00
_cell_angle_beta 90.00
_cell_angle_gamma 90.00
loop_
_atom_site_label
_atom_site_fract_x
_atom_site_fract_y
_atom_site_fract_z
Li1 0.000 0.000 0.000
Mg1 0.000 0.000 0.500
H1 0.250 0.250 0.250
```

## Properties
Offset from the most stable computed form, meV/atom: 299
Density, kg/m3: 1346
DOS(E_F), states/eV/atom: 0.1777
V, Å³/cell: 164.1
Energy, eV/cell: -38.23

***

No. 9
A plane-wave DFT calculation with PBE-GGA was carried out for Li4MgH5 after structural relaxation.

```
data_Li4MgH5
_chemical_formula_sum 'Li8 Mg2 H10'
_space_group_name_H-M_alt 'I 4/m'
_space_group_IT_number 87
_space_group_name_Hall '-I 4'
_cell_length_a 6.799
_cell_length_b 6.799
_cell_length_c 3.862
_cell_angle_alpha 90.00
_cell_angle_beta 90.00
_cell_angle_gamma 90.00
loop_
_atom_site_label
_atom_site_fract_x
_atom_site_fract_y
_atom_site_fract_z
Li1 0.109 0.310 0.000
Mg1 0.000 0.000 0.500
H1 0.000 0.000 0.000
H2 0.098 0.291 0.500
```

## Properties
Density, kg/m3: 1062
DOS(E_F), states/eV/atom: 0.2230
V, Å³/cell: 178.5
Energy, eV/cell: -56.44

***

No. 10
A plane-wave DFT calculation with PBE-GGA was carried out for Li2MgH6 after structural relaxation.

```
data_Li2MgH6
_chemical_formula_sum 'Li4 Mg2 H12'
_space_group_name_H-M_alt 'C 1 2/m 1'
_space_group_IT_number 12
_cell_length_a 10.421
_cell_length_b 4.679
_cell_length_c 3.281
_cell_angle_alpha 90.00
_cell_angle_beta 105.67
_cell_angle_gamma 90.00
loop_
_space_group_symop_operation_xyz
'x,y,z'
'-x,-y,-z'
'-x,y,-z'
'x,-y,z'
'x+1/2,y+1/2,z'
'-x+1/2,-y+1/2,-z'
'-x+1/2,y+1/2,-z'
'x+1/2,-y+1/2,z'
loop_
_atom_site_label
_atom_site_fract_x
_atom_site_fract_y
_atom_site_fract_z
Li1 0.140 0.000 0.105
Mg1 0.000 0.500 0.500
H1 0.000 0.255 0.000
H2 0.217 0.259 0.568
```

## Properties
Offset from the most stable computed form, meV/atom: 0
Density, kg/m3: 954
DOS(E_F), states/eV/atom: 0.0989
V, Å³/cell: 154.0
Energy, eV/cell: -51.02

***

No. 11
A plane-wave DFT calculation with PBE-GGA was carried out for LiMg2H6 after structural relaxation.

```
data_LiMg2H6
_chemical_formula_sum 'Li1 Mg2 H6'
_space_group_name_H-M_alt 'P -1'
_space_group_IT_number 2
_cell_length_a 3.323
_cell_length_b 3.334
_cell_length_c 7.708
_cell_angle_alpha 89.88
_cell_angle_beta 89.96
_cell_angle_gamma 60.34
loop_
_space_group_symop_operation_xyz
'x,y,z'
'-x,-y,-z'
loop_
_atom_site_label
_atom_site_fract_x
_atom_site_fract_y
_atom_site_fract_z
Li1 0.000 0.000 0.000
Mg1 0.334 0.334 0.678
H1 0.001 0.001 0.748
H2 0.333 0.332 0.416
H3 0.333 0.336 0.930
```

## Properties
Offset from the most stable computed form, meV/atom: 0
Density, kg/m3: 1379
DOS(E_F), states/eV/atom: 0.0907
V, Å³/cell: 74.2
Energy, eV/cell: -25.48

***

No. 12
A plane-wave DFT calculation with PBE-GGA was carried out for LiMg2H4 after structural relaxation.

```
data_LiMg2H4
_chemical_formula_sum 'Li2 Mg4 H8'
_space_group_name_H-M_alt 'I 4/m m m'
_space_group_IT_number 139
_space_group_name_Hall '-I 4 2'
_cell_length_a 3.381
_cell_length_b 3.381
_cell_length_c 10.987
_cell_angle_alpha 90.00
_cell_angle_beta 90.00
_cell_angle_gamma 90.00
loop_
_atom_site_label
_atom_site_fract_x
_atom_site_fract_y
_atom_site_fract_z
Li1 0.000 0.000 0.000
Mg1 0.000 0.000 0.356
H1 0.000 0.000 0.176
H2 0.000 0.500 0.000
```

## Properties
Offset from the most stable computed form, meV/atom: 51
Density, kg/m3: 1576
DOS(E_F), states/eV/atom: 0.1613
V, Å³/cell: 125.6
Energy, eV/cell: -37.15

***

No. 13
A plane-wave DFT calculation with PBE-GGA was carried out for Li2MgH3 after structural relaxation.

```
data_Li2MgH3
_chemical_formula_sum 'Li8 Mg4 H12'
_space_group_name_H-M_alt 'C 1 2/c 1'
_space_group_IT_number 15
_cell_length_a 8.562
_cell_length_b 5.740
_cell_length_c 5.558
_cell_angle_alpha 90.00
_cell_angle_beta 113.48
_cell_angle_gamma 90.00
loop_
_space_group_symop_operation_xyz
'x,y,z'
'-x,-y,-z'
'-x,y,-z+1/2'
'x,-y,z+1/2'
'x+1/2,y+1/2,z'
'-x+1/2,-y+1/2,-z'
'-x+1/2,y+1/2,-z+1/2'
'x+1/2,-y+1/2,z+1/2'
loop_
_atom_site_label
_atom_site_fract_x
_atom_site_fract_y
_atom_site_fract_z
Li1 0.155 0.081 0.059
Mg1 0.000 0.437 0.250
H1 0.000 0.101 0.250
H2 0.168 0.429 0.089
```

## Properties
Density, kg/m3: 1092
DOS(E_F), states/eV/atom: 0.1734
V, Å³/cell: 250.6
Energy, eV/cell: -65.57

***

No. 14
A plane-wave DFT calculation with PBE-GGA was carried out for LiMgH after structural relaxation.

```
data_LiMgH
_chemical_formula_sum 'Li2 Mg2 H2'
_space_group_name_H-M_alt 'P m n 21'
_space_group_IT_number 31
_cell_length_a 3.138
_cell_length_b 5.200
_cell_length_c 5.351
_cell_angle_alpha 90.00
_cell_angle_beta 90.00
_cell_angle_gamma 90.00
loop_
_space_group_symop_operation_xyz
'x,y,z'
'-x+1/2,-y,z+1/2'
'-x,y,z'
'x+1/2,-y,z+1/2'
loop_
_atom_site_label
_atom_site_fract_x
_atom_site_fract_y
_atom_site_fract_z
Li1 0.000 0.025 0.000
Mg1 0.000 0.461 0.354
H1 0.000 0.078 0.345
```

## Properties
Offset from the most stable computed form, meV/atom: 19
Density, kg/m3: 1227
DOS(E_F), states/eV/atom: 0.1217
V, Å³/cell: 87.3
Energy, eV/cell: -14.76

***

No. 15
A plane-wave DFT calculation with PBE-GGA was carried out for Li5Mg3H12 after structural relaxation.

```
data_Li5Mg3H12
_chemical_formula_sum 'Li40 Mg24 H96'
_space_group_name_H-M_alt 'I a -3 d'
_space_group_IT_number 230
_space_group_name_Hall '-I 4bd 2c 3'
_cell_length_a 11.178
_cell_length_b 11.178
_cell_length_c 11.178
_cell_angle_alpha 90.00
_cell_angle_beta 90.00
_cell_angle_gamma 90.00
loop_
_atom_site_label
_atom_site_fract_x
_atom_site_fract_y
_atom_site_fract_z
Li1 0.000 0.000 0.000
Li2 0.000 0.250 0.375
Mg1 0.000 0.250 0.125
H1 0.019 0.063 0.654
```

## Properties
Density, kg/m3: 1139
DOS(E_F), states/eV/atom: 0.1891
V, Å³/cell: 1396.8
Energy, eV/cell: -459.19

***

No. 16
A plane-wave DFT calculation with PBE-GGA was carried out for LiMgH after structural relaxation.

```
data_LiMgH
_chemical_formula_sum 'Li6 Mg6 H6'
_space_group_name_H-M_alt 'R 3 m'
_space_group_IT_number 160
_space_group_name_Hall 'R 3 -2"'
_cell_length_a 3.1538
_cell_length_b 3.1538
_cell_length_c 29.8775
_cell_angle_alpha 90.00
_cell_angle_beta 90.00
_cell_angle_gamma 120.00
loop_
_atom_site_label
_atom_site_fract_x
_atom_site_fract_y
_atom_site_fract_z
Li1 0.0000 0.0000 0.0000
Li2 0.0000 0.0000 0.2548
Mg1 0.0000 0.0000 0.4165
Mg2 0.0000 0.0000 0.8342
H1 0.0000 0.0000 0.3486
H2 0.0000 0.0000 0.9372
```

## Properties
Offset from the most stable computed form, meV/atom: 7
Density, kg/m3: 1249
DOS(E_F), states/eV/atom: 0.1744
V, Å³/cell: 257.4
Energy, eV/cell: -44.48

***

No. 17
A plane-wave DFT calculation with PBE-GGA was carried out for Li2MgH6 after structural relaxation.

```
data_Li2MgH6
_chemical_formula_sum 'Li8 Mg4 H24'
_space_group_name_H-M_alt 'F m -3 m'
_space_group_IT_number 225
_space_group_name_Hall '-F 4 2 3'
_cell_length_a 6.500
_cell_length_b 6.500
_cell_length_c 6.500
_cell_angle_alpha 90.00
_cell_angle_beta 90.00
_cell_angle_gamma 90.00
loop_
_atom_site_label
_atom_site_fract_x
_atom_site_fract_y
_atom_site_fract_z
Li1 0.250 0.250 0.250
Mg1 0.000 0.000 0.000
H1 0.000 0.000 0.295
```

## Properties
Offset from the most stable computed form, meV/atom: 282
Density, kg/m3: 1070
DOS(E_F), states/eV/atom: 0.2325
V, Å³/cell: 274.6
Energy, eV/cell: -91.91

***

No. 18
A plane-wave DFT calculation with PBE-GGA was carried out for Li2MgH5 after structural relaxation.

```
data_Li2MgH5
_chemical_formula_sum 'Li8 Mg4 H20'
_space_group_name_H-M_alt 'C m c m'
_space_group_IT_number 63
_space_group_name_Hall '-C 2c 2'
_cell_length_a 3.832
_cell_length_b 9.532
_cell_length_c 9.692
_cell_angle_alpha 90.00
_cell_angle_beta 90.00
_cell_angle_gamma 90.00
loop_
_atom_site_label
_atom_site_fract_x
_atom_site_fract_y
_atom_site_fract_z
Li1 0.000 0.187 0.087
Mg1 0.000 0.160 0.750
H1 0.000 0.012 0.542
H2 0.000 0.280 0.590
H3 0.000 0.305 0.250
```

## Properties
Density, kg/m3: 811
DOS(E_F), states/eV/atom: 0.1425
V, Å³/cell: 354.0
Energy, eV/cell: -91.48